1.
A plane-wave DFT calculation with GGA-PBE was carried out for crystalline LaNbCo at its relaxed geometry.

It has space group F-43m (No. 216), with a = 6.3256 Å, b = 6.3256 Å, c = 6.3256 Å, α = 90.00°, β = 90.00° and γ = 90.00°. The asymmetric unit holds La at (0.0000, 0.0000, 0.0000), Nb at (0.2500, 0.2500, 0.7500) and Co at (0.0000, 0.0000, 0.5000).

Its polymorph energy (0 for the lowest one) is 0 meV/atom. Its formation energy is 2.27 eV per formula unit.


2.
A plane-wave DFT calculation with GGA-PBE was carried out for crystalline LaNbCo2Sb2 at its relaxed geometry.

It has space group Pmn2_1 (No. 31), with a = 4.3321 Å, b = 9.0549 Å, c = 6.2978 Å, α = 90.00°, β = 90.00° and γ = 90.00°. The asymmetric unit holds La at (0.0000, 0.1170, 0.0000), Nb at (0.0000, 0.6145, 0.0056), Co at (0.0000, 0.3942, 0.2647), Co at (0.0000, 0.8269, 0.2208), Sb at (0.0000, 0.1564, 0.4993) and Sb at (0.0000, 0.6151, 0.5124).

The total energy comes out at -6.7730 eV per atom.


3.
A plane-wave DFT calculation with GGA-PBE was carried out for crystalline LaNdCo2 at its relaxed geometry.

It has space group Amm2 (No. 38), with a = 4.0188 Å, b = 3.9949 Å, c = 11.0349 Å, α = 90.00°, β = 90.00° and γ = 90.00°. The asymmetric unit holds La at (0.0000, 0.0000, 0.0000), Nd at (0.5000, 0.0000, 0.7200), Co at (0.0000, 0.0000, 0.3032) and Co at (0.5000, 0.0000, 0.4179).

Its formation energy is -0.27 eV per formula unit.


4.
A plane-wave DFT calculation with GGA-PBE was carried out for crystalline LaNdCo at its relaxed geometry.

It has space group F-43m (No. 216), with a = 6.8986 Å, b = 6.8986 Å, c = 6.8986 Å, α = 90.00°, β = 90.00° and γ = 90.00°. The asymmetric unit holds La at (0.0000, 0.0000, 0.0000), Nd at (0.2500, 0.2500, 0.7500) and Co at (0.0000, 0.0000, 0.5000).

Its polymorph energy (0 for the lowest one) is 0 meV/atom. Its formation energy is 1.90 eV per formula unit.


Please write out number 2 again, unchanged.
A plane-wave DFT calculation with GGA-PBE was carried out for crystalline LaNbCo2Sb2 at its relaxed geometry.

It has space group Pmn2_1 (No. 31), with a = 4.3321 Å, b = 9.0549 Å, c = 6.2978 Å, α = 90.00°, β = 90.00° and γ = 90.00°. The asymmetric unit holds La at (0.0000, 0.1170, 0.0000), Nb at (0.0000, 0.6145, 0.0056), Co at (0.0000, 0.3942, 0.2647), Co at (0.0000, 0.8269, 0.2208), Sb at (0.0000, 0.1564, 0.4993) and Sb at (0.0000, 0.6151, 0.5124).

The total energy comes out at -6.7730 eV per atom.